{"formula": "Rb3Cd4Bi4", "functional": "GGA-PBE", "state": "relaxed", "cell": [[-0.741, -2.499, 5.310], [7.495, 0.345, 1.209], [-4.302, 8.828, 0.259]], "species": ["Rb", "Rb", "Rb", "Cd", "Cd", "Cd", "Cd", "Bi", "Bi", "Bi", "Bi"], "fractional_positions": [[0.121, 0.121, 0.243], [0.879, 0.879, 0.757], [0.000, 0.500, 0.000], [0.329, 0.135, 0.658], [0.671, 0.477, 0.342], [0.671, 0.865, 0.342], [0.329, 0.523, 0.658], [0.217, 0.717, 0.433], [0.783, 0.283, 0.567], [0.500, 0.800, 0.000], [0.500, 0.200, 0.000]], "crystal_system": "orthorhombic", "delta_e_f_ev_per_atom": -0.213, "sg": "Immm, No. 71", "total_energy_ev_per_atom": -2.22}